DFT (GGA-PBE) results for a relaxed TcPt2Rh crystal.

Total energy (eV for the cell shown): -120.8
Calculated formation energy (eV/atom): -0.10
Total magnetization (μB/f.u.): 0.0
SG: No. 69

a b c (Å): 5.4727 5.4803 7.9393
angles (deg): 90.00 90.00 90.00
With the nearest neighbours (Å) after each atom.
Atoms (fractional coordinates):
1 Tc 0.0000 0.0000 0.0000  4 Rh 2.74, 8 Pt 2.77
2 Tc 0.0000 0.5000 0.5000  4 Rh 2.74, 8 Pt 2.77
3 Tc 0.5000 0.0000 0.5000  4 Rh 2.74, 8 Pt 2.77
4 Tc 0.5000 0.5000 0.0000  4 Rh 2.74, 8 Pt 2.77
5 Pt 0.2500 0.2500 0.2500  4 Pt 2.74, 4 Tc 2.77, 4 Rh 2.77
6 Pt 0.2500 0.2500 0.7500  4 Pt 2.74, 4 Tc 2.77, 4 Rh 2.77
7 Pt 0.2500 0.7500 0.2500  4 Pt 2.74, 4 Tc 2.77, 4 Rh 2.77
8 Pt 0.2500 0.7500 0.7500  4 Pt 2.74, 4 Tc 2.77, 4 Rh 2.77
9 Pt 0.7500 0.2500 0.2500  4 Pt 2.74, 4 Tc 2.77, 4 Rh 2.77
10 Pt 0.7500 0.2500 0.7500  4 Pt 2.74, 4 Tc 2.77, 4 Rh 2.77
11 Pt 0.7500 0.7500 0.2500  4 Pt 2.74, 4 Tc 2.77, 4 Rh 2.77
12 Pt 0.7500 0.7500 0.7500  4 Pt 2.74, 4 Tc 2.77, 4 Rh 2.77
13 Rh 0.0000 0.0000 0.5000  4 Tc 2.74, 8 Pt 2.77
14 Rh 0.0000 0.5000 0.0000  4 Tc 2.74, 8 Pt 2.77
15 Rh 0.5000 0.0000 0.0000  4 Tc 2.74, 8 Pt 2.77
16 Rh 0.5000 0.5000 0.5000  4 Tc 2.74, 8 Pt 2.77

---

DFT (GGA-PBE) results for a relaxed Tc2PtRh crystal.

Total energy (eV for the cell shown): -103.3
Calculated formation energy (eV/atom): -0.07
Total magnetization (μB/f.u.): 0.0
SG: No. 160

a b c (Å): 2.7479 2.7479 26.9952
angles (deg): 90.00 90.00 120.00
With the nearest neighbours (Å) after each atom.
Atoms (fractional coordinates):
1 Tc 0.0000 0.0000 0.0000  9 Tc 2.69-2.75, 3 Rh 2.69
2 Tc 0.0000 0.0000 0.2529  9 Tc 2.69-2.75, 3 Pt 2.79
3 Tc 0.3333 0.6667 0.6667  9 Tc 2.69-2.75, 3 Rh 2.69
4 Tc 0.3333 0.6667 0.9195  9 Tc 2.69-2.75, 3 Pt 2.79
5 Tc 0.6667 0.3333 0.3333  9 Tc 2.69-2.75, 3 Rh 2.69
6 Tc 0.6667 0.3333 0.5862  9 Tc 2.69-2.75, 3 Pt 2.79
7 Pt 0.0000 0.0000 0.5010  6 Pt 2.75, 3 Tc 2.79, 3 Rh 2.84
8 Pt 0.3333 0.6667 0.1677  6 Pt 2.75, 3 Tc 2.79, 3 Rh 2.84
9 Pt 0.6667 0.3333 0.8343  6 Pt 2.75, 3 Tc 2.79, 3 Rh 2.84
10 Rh 0.0000 0.0000 0.7472  3 Tc 2.69, 6 Rh 2.75, 3 Pt 2.84
11 Rh 0.3333 0.6667 0.4139  3 Tc 2.69, 6 Rh 2.75, 3 Pt 2.84
12 Rh 0.6667 0.3333 0.0805  3 Tc 2.69, 6 Rh 2.75, 3 Pt 2.84